[1]
Entry from the Open Quantum Materials Database: a geometry-optimized CuTeSeCl structure (GGA-PBE).

Output
Energy   -3.3469 eV/atom

Cell: 8.0269 4.9487 12.0285 Å, 90.00 116.79 90.00°
With the nearest neighbours (Å) after each atom.
Space group P2_1/c (No. 14)
One atom of each set of equivalent atoms:
Cu  0.1783  0.1346  0.2484  2 Cl 2.33-2.38, 1 Se 2.41, 1 Te 2.53
Te  0.2771  0.0097  0.6390  1 Cu 2.53, 2 Se 2.55-2.69
Se  0.4177  0.7015  0.8449  1 Cu 2.41, 2 Te 2.55-2.69
Cl  0.0788  0.1437  0.8786  2 Cu 2.33-2.38

---

[2]
Entry from the Open Quantum Materials Database: a geometry-optimized Tl2CuSnCl6 structure (GGA-PBE).

Output
Energy   -3.2256 eV/atom

Cell: 10.2285 10.2285 10.2285 Å, 90.00 90.00 90.00°
With the nearest neighbours (Å) after each atom.
Space group Fm-3m (No. 225)
One atom of each set of equivalent atoms:
Tl  0.2500  0.2500  0.2500  12 Cl 3.62
Cu  0.0000  0.0000  0.0000  6 Cl 2.45
Sn  0.0000  0.0000  0.5000  6 Cl 2.66
Cl  0.0000  0.0000  0.2397  1 Cu 2.45, 1 Sn 2.66

---

[3]
Entry from the Open Quantum Materials Database: a geometry-optimized Tb3CuCl5 structure (GGA-PBE).

Output
Energy   -3.9036 eV/atom

Cell: 7.5937 7.5937 3.4360 Å, 90.00 90.00 120.00°
With the nearest neighbours (Å) after each atom.
Space group P-62m (No. 189)
One atom of each set of equivalent atoms:
Tb  0.0000  0.5878  0.0000  6 Cl 2.86-3.06, 1 Cu 3.13
Cu  0.0000  0.0000  0.0000  6 Cl 2.58
Cl  0.0000  0.2538  0.5000  2 Cu 2.58, 2 Cl 2.88
Cl  0.3333  0.6667  0.5000  6 Tb 2.86, 3 Cl 2.88

---

[4]
Entry from the Open Quantum Materials Database: a geometry-optimized CuTcCl structure (GGA-PBE).

Output
Energy   -4.4878 eV/atom

Cell: 4.1593 4.1593 18.2726 Å, 90.00 90.00 120.00°
With the nearest neighbours (Å) after each atom.
Space group R-3m (No. 166, hexagonal axes)
One atom of each set of equivalent atoms:
Cu  0.0000  0.0000  0.1361  3 Cl 2.65, 3 Cu 2.65, 4 Tc 2.67-2.86
Tc  0.0000  0.0000  0.2820  4 Cl 2.31-2.44
Cl  0.0000  0.0000  0.4087  4 Tc 2.31-2.44

---

[5]
Entry from the Open Quantum Materials Database: a geometry-optimized CuTe6Cl2 structure (GGA-PBE).

Output
Energy   -3.0318 eV/atom

Cell: 4.5866 8.2877 8.5675 Å, 71.03 83.96 81.60°
With the nearest neighbours (Å) after each atom.
Space group P-1 (No. 2)
One atom of each set of equivalent atoms:
Cu  0.0000  0.0000  0.0000  2 Cl 2.23
Te  0.0378  0.5390  0.7845  2 Te 2.78-2.80
Te  0.1909  0.7324  0.2682  1 Cu 2.74, 2 Te 2.78-2.80
Te  0.2066  0.2037  0.4838  2 Te 2.78
Cl  0.3492  0.8814  0.8548  1 Cu 2.23

---

[6]
Entry from the Open Quantum Materials Database: a geometry-optimized CuTe2Cl6 structure (GGA-PBE).

Output
Energy   -2.7804 eV/atom

Cell: 4.4241 7.2745 8.7420 Å, 102.31 96.58 92.86°
With the nearest neighbours (Å) after each atom.
Space group P-1 (No. 2)
One atom of each set of equivalent atoms:
Cu  0.0000  0.0000  0.0000  2 Cl 2.27
Te  0.3661  0.2303  0.2213  2 Cl 2.36-2.38, 1 Cu 2.61
Cl  0.0944  0.5032  0.2146  1 Te 2.38
Cl  0.2493  0.1946  0.4701  1 Te 2.36
Cl  0.3202  0.1229  0.8568  1 Cu 2.27

---

[7]
Entry from the Open Quantum Materials Database: a geometry-optimized TlCu2Cl3 structure (GGA-PBE).

Output
E above lowest polymorph   0.7 kJ per mole of atoms

Cell: 7.5437 5.2303 8.0035 Å, 90.00 110.09 90.00°
With the nearest neighbours (Å) after each atom.
Space group P2_1/m (No. 11)
One atom of each set of equivalent atoms:
Tl  0.1723  0.2500  0.3612  6 Cl 3.18-3.34
Cu  0.3790  0.0022  0.8351  4 Cl 2.32-2.44, 1 Cu 2.59
Cl  0.1021  0.2500  0.7385  2 Cu 2.35
Cl  0.3316  0.7500  0.0734  4 Cu 2.43-2.44
Cl  0.3939  0.7500  0.6020  2 Cu 2.32

---

[8]
Entry from the Open Quantum Materials Database: a geometry-optimized TlCu2Cl3 structure (GGA-PBE).

Output
E above lowest polymorph   0.0 kJ per mole of atoms

Cell: 9.1181 12.1402 5.2322 Å, 90.00 90.00 90.00°
With the nearest neighbours (Å) after each atom.
Space group Cmcm (No. 63)
One atom of each set of equivalent atoms:
Tl  0.0000  0.1979  0.2500  8 Cl 3.30-3.54
Cu  0.1887  0.5000  0.0000  4 Cl 2.27-2.52
Cl  0.0000  0.3941  0.7500  4 Cu 2.52
Cl  0.2154  0.1345  0.7500  2 Cu 2.27

---

- Number 8 is which compound?
  TlCu2Cl3